Computed, not measured: crystalline SmTh2Sc9 at its relaxed geometry at the PBE-GGA level of DFT.

Lattice parameters (Å, degrees): 4.718 4.718 14.243 90.00 90.00 90.00
Positions (direct):
Sm 0.000 0.000 0.000
Th 0.000 0.000 0.334
Th 0.000 0.000 0.666
Sc 0.500 0.500 0.000
Sc 0.500 0.500 0.334
Sc 0.500 0.500 0.666
Sc 0.500 0.000 0.169
Sc 0.500 0.000 0.500
Sc 0.500 0.000 0.831
Sc 0.000 0.500 0.169
Sc 0.000 0.500 0.500
Sc 0.000 0.500 0.831

- Uncorrected energy: -6.341 eV per atom
- Mass density: 5.34 g cm⁻³
- Symmetry: P4/mmm
- E_form: 0.038 eV per atom